Ba2Pd | GGA-PBE | optimized geometry

abc: 9.6315 9.6315 9.6315
angles: 60.00 60.00 60.00
With the nearest neighbours (Å) after each atom.
Positions (direct):
Ba  0.1250  0.1250  0.1250  2 Pd 2.95
Ba  0.1250  0.6250  0.1250  2 Pd 2.95
Ba  0.6250  0.1250  0.1250  2 Pd 2.95
Ba  0.1250  0.1250  0.6250  2 Pd 2.95
Pd  0.2500  0.2500  0.2500  4 Ba 2.95
Pd  0.0000  0.0000  0.0000  4 Ba 2.95

Calculated values
Energy above the lowest structure with this stoichiometry = 0.680 eV/atom
Uncorrected energy = -16.54 eV per cell
Space group = Fd-3m (227)